Density functional theory data (PBE+U) for an optimized crystal structure of RbMoPb2F8.

Lattice parameters (Å, degrees): 4.5173 8.0903 5.8311 90.00 95.54 90.00
With the nearest neighbours (Å) after each atom.
Space group P2/m (No. 10)
Asymmetric unit:
Rb: 0.0000 0.0000 0.0000 (multiplicity 1)  8 F 2.72-2.86
Mo: 0.0000 0.5000 0.0000 (multiplicity 1)  6 F 2.12-2.14
Pb: 0.5000 0.2529 0.5000 (multiplicity 2)  6 F 2.43-2.65
F: 0.0600 0.3050 0.7605 (multiplicity 4)  1 Mo 2.14
F: 0.4080 0.5000 0.2116 (multiplicity 2)  1 Mo 2.12
F: 0.4779 0.0000 0.7240 (multiplicity 2)  2 Pb 2.43, 1 F 2.64, 1 Rb 2.72

Calculated values
crystal system = monoclinic
uncorrected energy = -60.5 eV for the cell shown